(1)
A plane-wave DFT calculation with GGA-PBE was carried out for a relaxed structure of PrCd2Pd2.

The structure in CIF format:
```
data_PrCd2Pd2
_cell_length_a 4.189
_cell_length_b 4.189
_cell_length_c 12.546
_cell_angle_alpha 90.00
_cell_angle_beta 90.00
_cell_angle_gamma 90.00
_space_group_name_H-M_alt 'I 4/m m m'
_space_group_IT_number 139
_space_group_name_Hall '-I 4 2'
loop_
_atom_site_label
_atom_site_fract_x
_atom_site_fract_y
_atom_site_fract_z
Pr1 0.000 0.000 0.000
Cd1 0.000 0.500 0.250
Pd1 0.000 0.000 0.396
```

Calculated values
**Crystal system**: tetragonal
**Formation energy from the elements**: -51 kJ/mol of atoms
**Total energy**: -3.916 eV per atom



(2)
A plane-wave DFT calculation with GGA-PBE was carried out for a relaxed structure of DyHo2Ni2.

The structure in CIF format:
```
data_DyHo2Ni2
_cell_length_a 13.241
_cell_length_b 3.637
_cell_length_c 9.459
_cell_angle_alpha 90.00
_cell_angle_beta 105.42
_cell_angle_gamma 90.00
_space_group_name_H-M_alt 'C 1 2/m 1'
_space_group_IT_number 12
_space_group_name_Hall '-C 2y'
loop_
_atom_site_label
_atom_site_fract_x
_atom_site_fract_y
_atom_site_fract_z
Dy1 0.132 0.000 0.498
Ho1 0.097 0.500 0.173
Ho2 0.144 0.000 0.868
Ni1 0.035 0.500 0.644
Ni2 0.244 0.500 0.727
```

Calculated values
**Crystal system**: monoclinic
**Formation energy from the elements**: -37 kJ/mol of atoms
**Total energy**: -5.360 eV per atom
**Energy above the lowest structure with this stoichiometry**: 3 meV per atom



(3)
A plane-wave DFT calculation with GGA-PBE was carried out for a relaxed structure of HfSnW2.

The structure in CIF format:
```
data_HfSnW2
_cell_length_a 6.647
_cell_length_b 6.647
_cell_length_c 6.647
_cell_angle_alpha 90.00
_cell_angle_beta 90.00
_cell_angle_gamma 90.00
_space_group_name_H-M_alt 'F -4 3 m'
_space_group_IT_number 216
_space_group_name_Hall 'F -4 2 3'
loop_
_atom_site_label
_atom_site_fract_x
_atom_site_fract_y
_atom_site_fract_z
Hf1 0.000 0.000 0.000
Sn1 0.250 0.250 0.750
W1 0.000 0.000 0.500
W2 0.250 0.250 0.250
```

Calculated values
**Crystal system**: cubic
**Total energy**: -9.655 eV per atom